Entry a
Material: Pm2Dy6Mg
Method: DFT, GGA-PBE
State: relaxed

The structure in POSCAR format:
```
Pm2Dy6Mg
1.0
10.571 0.000 0.000
0.000 10.571 0.000
0.000 0.000 5.034
Pm Dy Mg
4 12 2
Cartesian
1.743 1.743 0.000
3.542 7.029 2.517
7.029 3.542 2.517
8.828 8.828 0.000
0.007 7.041 2.517
1.756 5.279 0.000
1.771 8.800 0.000
3.515 3.515 2.517
3.530 10.564 2.517
5.279 1.756 0.000
5.293 8.815 0.000
7.041 0.007 2.517
7.056 7.056 2.517
8.800 1.771 0.000
8.815 5.293 0.000
10.564 3.530 2.517
0.000 0.000 2.517
5.286 5.286 0.000
```

Properties
Space-group type: P4_2/mnm
Crystal system: tetragonal
Density: 7.6 g/cm³
Spin magnetization: 0.00 μB/cell



Entry b
Material: Pm2Dy6Mg
Method: DFT, GGA-PBE
State: relaxed

The structure in POSCAR format:
```
Pm2Dy6Mg
1.0
4.555 -4.647 0.000
4.555 4.647 0.000
-3.466 0.000 13.359
Pm Dy Mg
4 12 2
Cartesian
0.784 1.530 4.110
-0.949 -1.530 10.789
6.594 1.530 2.570
4.861 -1.530 9.249
2.951 2.938 1.895
-0.401 0.083 7.682
1.333 -0.083 1.002
4.426 2.938 4.785
2.674 1.593 7.206
1.238 1.593 12.832
4.407 -1.593 0.526
2.971 -1.593 6.153
1.218 -2.938 8.574
4.312 0.083 12.356
6.045 -0.083 5.677
2.693 -2.938 11.464
1.956 0.070 10.019
3.689 -0.070 3.340
```

Properties
Space-group type: C2/c
Crystal system: monoclinic
Density: 7.6 g/cm³
Spin magnetization: 0.00 μB/cell



Result of the stability comparison: entry b is the least stable of them.